## CoPd2F (GGA+U)

Data for a relaxed structure of CoPd2F.

ΔE to the lowest computed polymorph, meV per atom: 0

Cell and atoms, written as extended XYZ:
```
4
Lattice="0.000 3.025 3.025 3.025 0.000 3.025 3.025 3.025 0.000" Properties=species:S:1:pos:R:3 pbc="T T T"
Co 0.000 0.000 0.000
Pd 1.512 1.512 1.512
Pd 4.537 4.537 4.537
F 3.025 3.025 3.025
```